5
Lattice="4.224 0.000 0.000 0.000 4.224 0.000 0.000 0.000 4.224" Properties=species:S:1:pos:R:3 comment="InIr3O, relaxed, DFT PBE" total_magnetization_mub_per_fu=0.000 total_energy_ev_per_atom=-6.189 relative_energy_mev_per_atom=0 pbc="T T T"
In 0.000 0.000 0.000
Ir 0.000 2.112 2.112
Ir 2.112 0.000 2.112
Ir 2.112 2.112 0.000
O 2.112 2.112 2.112

10
Lattice="6.510 0.000 0.000 0.000 8.437 0.000 0.000 0.000 7.384" Properties=species:S:1:pos:R:3 comment="CsRbTlSe2, relaxed, DFT PBE" total_magnetization_mub_per_fu=0.000 total_energy_ev_per_atom=-2.804 pbc="T T T"
Cs 1.627 0.000 1.506
Cs 4.882 0.000 5.878
Rb 1.627 4.219 3.184
Rb 4.882 4.219 4.201
Tl 0.000 4.219 0.000
Tl 3.255 4.219 0.000
Se 1.627 2.151 5.845
Se 1.627 6.286 5.845
Se 4.882 2.151 1.539
Se 4.882 6.286 1.539

6
Lattice="3.300 0.000 0.000 0.000 3.300 0.000 0.000 0.000 11.671" Properties=species:S:1:pos:R:3 comment="SrCrRu, relaxed, DFT PBE" total_magnetization_mub_per_fu=2.150 total_energy_ev_per_atom=-6.370 relative_energy_mev_per_atom=48 ef_ev_per_fu=1.47 pbc="T T T"
Sr 0.000 0.000 0.000
Sr 1.650 1.650 5.836
Cr 0.000 0.000 8.397
Cr 1.650 1.650 2.562
Ru 0.000 0.000 3.396
Ru 1.650 1.650 9.231

16
Lattice="7.363 0.000 0.000 0.000 7.363 0.000 0.000 0.000 7.363" Properties=species:S:1:pos:R:3 comment="CeGdCdPd, relaxed, DFT PBE" total_magnetization_mub_per_fu=8.050 total_energy_ev_per_atom=-6.938 ef_ev_per_fu=-1.63 pbc="T T T"
Ce 0.000 0.000 0.000
Ce 0.000 3.681 3.681
Ce 3.681 0.000 3.681
Ce 3.681 3.681 0.000
Gd 0.000 0.000 3.681
Gd 0.000 3.681 0.000
Gd 3.681 0.000 0.000
Gd 3.681 3.681 3.681
Cd 1.841 1.841 5.522
Cd 1.841 5.522 1.841
Cd 5.522 1.841 1.841
Cd 5.522 5.522 5.522
Pd 1.841 1.841 1.841
Pd 1.841 5.522 5.522
Pd 5.522 1.841 5.522
Pd 5.522 5.522 1.841

15
Lattice="6.083 0.000 0.000 -3.042 5.268 0.000 0.000 0.000 7.561" Properties=species:S:1:pos:R:3 comment="Rb3Mg2TlF9, relaxed, DFT PBE" total_magnetization_mub_per_fu=0.266 total_energy_ev_per_atom=-4.552 pbc="T T T"
Rb 0.000 0.000 0.000
Rb 0.000 3.512 5.051
Rb 3.042 1.756 2.510
Mg 0.000 3.512 1.102
Mg 3.042 1.756 6.459
Tl 0.000 0.000 3.780
F -1.521 2.634 0.000
F 0.000 1.901 2.332
F -1.395 4.318 2.332
F 1.647 0.951 5.229
F 3.042 0.000 0.000
F 1.521 2.634 0.000
F 1.395 4.318 2.332
F 4.437 0.951 5.229
F 3.042 3.367 5.229

8
Lattice="8.705 0.000 0.000 0.000 2.727 0.000 -0.631 0.000 6.549" Properties=species:S:1:pos:R:3 comment="KCo2Ir, relaxed, DFT PBE" total_magnetization_mub_per_fu=3.996 total_energy_ev_per_atom=-5.441 relative_energy_mev_per_atom=25 ef_ev_per_fu=2.41 pbc="T T T"
K 0.000 0.000 0.000
K 4.353 1.363 0.000
Co 1.566 0.000 4.166
Co 2.156 1.363 2.383
Co 5.919 1.363 4.166
Co 6.508 0.000 2.383
Ir -0.315 1.363 3.274
Ir 4.037 0.000 3.274